The following is a DFT calculation (PBE) of Ac3YNb2 after structural relaxation.

Energy of formation (eV/atom): 0.86

POSCAR file:
```
Ac3YNb2
1.0
-3.8795 4.2196 -4.0242
3.4545 -5.3740 -2.8698
-3.8103 -2.8276 0.7084
Ac Nb Y
3 2 1
Direct
0.5000 0.0000 0.5000 Ac
0.0000 0.5000 0.5000 Ac
0.5000 0.5000 0.5000 Ac
0.6666 0.3334 0.0000 Nb
0.3334 0.6666 0.0000 Nb
0.0000 0.0000 0.0000 Y
```